No. 1
5
Lattice="6.123 0.000 0.000 0.000 6.123 0.000 0.000 0.000 6.098" Properties=species:S:1:pos:R:3 comment="KNaCa2Cd, optimized geometry, DFT PBE-GGA" sg=P4/mmm crystal_system=tetragonal dos_ef_per_ev_atom=0.79 e_form_ev_per_atom=0.0577 rho_g_cm3=1.85 m_tot_mub_per_fu=0.0 pbc="T T T"
Na 0.000 0.000 3.049
Ca 0.000 3.062 0.000
Ca 3.062 0.000 0.000
Cd 0.000 0.000 0.000
K 3.062 3.062 3.049

No. 2
16
Lattice="-2.495 2.681 2.148 -1.179 -5.859 5.944 8.200 4.334 -0.079" Properties=species:S:1:pos:R:3 comment="PaSi2Ir, optimized geometry, DFT PBE-GGA" formation_energy_uncorrected_ev_per_atom=-0.86 sg=Immm crystal_system=orthorhombic dos_ef_per_ev_atom=0.37 rho_g_cm3=11.14 m_tot_mub_per_fu=0.0 pbc="T T T"
Si 1.417 3.283 1.745
Si 3.109 -2.128 6.268
Si 0.932 0.402 0.581
Si 3.594 0.753 7.432
Si 3.459 -0.390 4.505
Si 0.329 -2.533 3.545
Si 1.068 1.546 3.508
Si 4.197 3.689 4.468
Ir 3.531 4.736 2.387
Ir 1.583 -0.658 2.661
Ir 2.943 1.813 5.352
Ir 0.995 -3.581 5.626
Pa 3.756 1.620 2.342
Pa -2.127 -3.033 5.510
Pa 0.770 -0.465 5.671
Pa -1.546 -0.146 2.582

No. 3
4
Lattice="3.919 0.000 0.000 0.000 3.196 0.268 0.000 2.642 6.934" Properties=species:S:1:pos:R:3 comment="Zr2ScZn, optimized geometry, DFT PBE-GGA" sg=Pmm2 crystal_system=orthorhombic dos_ef_per_ev_atom=1.38 e_form_ev_per_atom=-0.0850 rho_g_cm3=5.78 m_tot_mub_per_fu=0.0 pbc="T T T"
Sc 0.000 2.908 3.735
Zr 0.000 2.650 6.852
Zr 1.959 1.463 1.755
Zn 1.959 4.380 5.395

No. 4
11
Lattice="5.810 0.949 1.085 0.693 7.008 0.143 0.693 -0.791 6.965" Properties=species:S:1:pos:R:3 comment="Li2Cd2In7, optimized geometry, DFT PBE-GGA" sg=C2/m crystal_system=monoclinic dos_ef_per_ev_atom=0.20 e_form_ev_per_atom=-0.0348 rho_g_cm3=6.32 m_tot_mub_per_fu=0.0 pbc="T T T"
In 6.042 3.090 3.533
In 4.476 4.605 1.289
In 2.720 6.501 3.457
In 2.905 0.474 0.542
In 1.154 4.076 4.660
In 4.476 0.665 4.736
In 2.720 2.561 6.903
Li 3.143 2.492 2.849
Li 4.053 4.674 5.344
Cd 0.693 5.880 1.130
Cd 0.693 0.338 5.978

No. 5
10
Lattice="7.084 0.000 0.000 0.000 7.084 0.000 0.000 0.000 2.905" Properties=species:S:1:pos:R:3 comment="ZrNi2Rh2, optimized geometry, DFT PBE-GGA" sg=P4/mbm crystal_system=tetragonal dos_ef_per_ev_atom=1.35 e_form_ev_per_atom=-0.1921 rho_g_cm3=9.44 m_tot_mub_per_fu=0.0 pbc="T T T"
Rh 4.476 0.934 0.000
Rh 2.608 6.150 0.000
Rh 6.150 4.476 0.000
Rh 0.934 2.608 0.000
Ni 1.178 4.720 1.452
Ni 5.906 2.364 1.452
Ni 4.720 5.906 1.452
Ni 2.364 1.178 1.452
Zr 3.542 3.542 0.000
Zr 0.000 0.000 0.000

No. 6
18
Lattice="4.078 0.000 0.000 -2.039 8.781 0.000 0.000 0.000 14.751" Properties=species:S:1:pos:R:3 comment="NaCdIn2Cl5, optimized geometry, DFT PBE-GGA" formation_energy_uncorrected_ev_per_atom=-1.10 sg=Cmc2_1 crystal_system=orthorhombic dos_ef_per_ev_atom=0.00 rho_g_cm3=3.41 m_tot_mub_per_fu=0.0 pbc="T T T"
Na 0.000 8.156 6.665
Na 2.039 0.625 14.041
Cd 2.039 4.922 7.731
Cd 0.000 3.859 0.355
Cl 2.039 7.556 8.292
Cl 0.000 5.359 6.035
Cl 2.039 0.186 4.127
Cl 0.000 4.708 9.550
Cl 2.039 2.294 7.368
Cl 2.039 3.422 13.411
Cl 2.039 4.073 2.175
Cl 0.000 8.595 11.502
Cl 0.000 6.487 14.744
Cl 0.000 1.225 0.916
In 2.039 7.227 2.348
In 0.000 2.412 4.291
In 2.039 6.369 11.667
In 0.000 1.554 9.723

No. 7
6
Lattice="0.000 3.467 3.467 3.467 0.000 3.467 3.467 3.467 0.000" Properties=species:S:1:pos:R:3 comment="Li4CuAu, optimized geometry, DFT PBE-GGA" sg=F-43m crystal_system=cubic dos_ef_per_ev_atom=0.49 e_form_ev_per_atom=-0.0482 rho_g_cm3=5.74 m_tot_mub_per_fu=0.0 pbc="T T T"
Li 4.331 4.331 2.602
Li 2.602 4.331 4.331
Li 4.331 2.602 4.331
Li 2.602 2.602 2.602
Au 5.200 5.200 5.200
Cu 0.000 0.000 0.000

No. 8
4
Lattice="2.962 -0.003 0.000 -1.256 2.682 0.000 0.000 0.000 11.446" Properties=species:S:1:pos:R:3 comment="Cd2RePb, optimized geometry, DFT PBE-GGA" sg=Cmm2 crystal_system=orthorhombic dos_ef_per_ev_atom=0.58 e_form_ev_per_atom=0.6255 rho_g_cm3=11.30 m_tot_mub_per_fu=0.0 pbc="T T T"
Pb 0.000 0.000 6.258
Cd 0.853 1.339 2.506
Cd 0.000 0.000 11.121
Re 0.853 1.339 8.731